# 1
Density functional theory data (GGA-PBE) for a geometry-optimized PaTi2Zn structure.

Output
E above lowest polymorph: 13 meV/atom
Total moment: 0.0 μB per formula unit
Calculated density: 8.7 g/cm³
Energy: -6.63 eV/atom
Energy of formation from the pure elements: 1.39 kJ per mole of atoms

Cell and atoms, written as POSCAR:
```
PaTi2Zn
1.0
-2.1811 -0.0669 -2.1126
-2.2392 -2.0428 0.1932
-6.5684 5.3612 4.4286
Zn Pa Ti
1 1 2
direct
0.6666 0.6666 0.0003
0.5000 0.5000 0.5001
0.2560 0.2560 0.2323
0.0774 0.0774 0.7673
```


# 2
Density functional theory data (GGA-PBE) for a geometry-optimized NdSm6Al structure.

Output
E above lowest polymorph: 0 meV/atom
Total moment: 0.0 μB per formula unit
Calculated density: 7.1 g/cm³
Energy: -4.66 eV/atom
Energy of formation from the pure elements: -5.39 kJ per mole of atoms

Cell and atoms, written as POSCAR:
```
NdSm6Al
1.0
4.9470 0.0000 0.0000
0.0000 4.9470 0.0000
0.0000 0.0000 10.2340
Sm Nd Al
6 1 1
direct
0.5000 0.5000 0.0000
0.5000 0.0000 0.2360
0.0000 0.5000 0.7640
0.5000 0.5000 0.5000
0.5000 0.0000 0.7640
0.0000 0.5000 0.2360
0.0000 0.0000 0.5000
0.0000 0.0000 0.0000
```


# 3
Density functional theory data (GGA-PBE) for a geometry-optimized HfOsS2I structure.

Output
Total moment: 0.0 μB per formula unit
Formation energy (no corrections): 1673 meV per atom
Calculated density: 7.8 g/cm³
Energy: -4.53 eV/atom

Cell and atoms, written as POSCAR:
```
HfOsS2I
1.0
-2.4203 -3.8418 1.8469
3.1577 -0.1640 3.7969
-2.8909 3.0401 2.5355
I Hf Os S
1 1 1 2
direct
0.0000 0.0000 0.0000
0.5000 0.5000 0.5000
0.0000 0.5000 0.0000
0.0000 0.0000 0.5000
0.5000 0.0000 0.0000
```